No. 1
A plane-wave DFT calculation with PBE-GGA was carried out for a relaxed Mn3IrN crystal.

Computed properties:
The calculation puts the total energy at -9.081 eV per atom. The value obtained for the size of the total moment is 0.000 μB/f.u. The uncorrected formation energy comes out at -0.142 eV per atom. The calculation puts the volume at 10.67 A^3/atom.

```
5
Lattice="3.764 0.000 0.000 0.000 3.764 0.000 0.000 0.000 3.764" Properties=species:S:1:pos:R:3 pbc="T T T"
Mn 0.000 0.000 1.882
Mn 0.000 1.882 0.000
Mn 1.882 0.000 0.000
Ir 1.882 1.882 1.882
N 0.000 0.000 0.000
```

=====

No. 2
A plane-wave DFT calculation with PBE-GGA was carried out for a relaxed La2SmSn2 crystal.

Computed properties:
The calculation puts the total energy at -5.165 eV per atom. The value obtained for the size of the total moment is 0.000 μB/f.u. The calculation puts the volume at 32.78 A^3/atom. Its formation energy from the elements is -649 meV/atom. The calculation puts the energy above the most stable polymorph in this dataset at 78.1 meV/atom.

```
10
Lattice="6.515 -2.440 0.000 6.515 2.440 0.000 -5.180 0.000 10.310" Properties=species:S:1:pos:R:3 pbc="T T T"
La -0.804 0.000 1.849
La -0.680 0.000 6.112
La 8.529 0.000 4.198
La 8.653 0.000 8.461
Sm 2.997 0.000 1.481
Sm 4.853 0.000 8.829
Sn 0.067 0.000 9.538
Sn 2.914 0.000 6.271
Sn 4.936 0.000 4.039
Sn 7.782 0.000 0.772
```

=====

What did the first record say?
A plane-wave DFT calculation with PBE-GGA was carried out for a relaxed Mn3IrN crystal.

Computed properties:
The calculation puts the total energy at -9.081 eV per atom. The value obtained for the size of the total moment is 0.000 μB/f.u. The uncorrected formation energy comes out at -0.142 eV per atom. The calculation puts the volume at 10.67 A^3/atom.

```
5
Lattice="3.764 0.000 0.000 0.000 3.764 0.000 0.000 0.000 3.764" Properties=species:S:1:pos:R:3 pbc="T T T"
Mn 0.000 0.000 1.882
Mn 0.000 1.882 0.000
Mn 1.882 0.000 0.000
Ir 1.882 1.882 1.882
N 0.000 0.000 0.000
```

=====

Question: Which value of size of the total moment does entry 2 give?
Answer: 0.000 μB/f.u.